No. 1
Material: TaGaSi2Sb
Method: DFT, PBE-GGA
State: optimized geometry

The structure in POSCAR format:
```
TaGaSi2Sb
1.0
4.927 0.000 0.000
0.000 4.927 0.000
0.000 0.000 5.356
Ta Ga Si Sb
1 1 2 1
direct
0.000 0.000 0.000
0.500 0.500 0.500
0.000 0.500 0.000
0.500 0.000 0.000
0.000 0.000 0.500
```

Values from the calculation:
**Energy relative to the elements, uncorrected**: 0.54 eV/atom
**Symmetry**: No. 123

---

No. 2
Material: Ac2BeAl4Pd3
Method: DFT, PBE-GGA
State: optimized geometry

The structure in POSCAR format:
```
Ac2BeAl4Pd3
1.0
4.426 0.000 0.000
0.000 4.426 0.000
0.000 0.000 10.478
Ac Be Al Pd
2 1 4 3
direct
0.000 0.500 0.241
0.500 0.000 0.759
0.500 0.500 0.000
0.000 0.000 0.500
0.000 0.500 0.882
0.500 0.000 0.118
0.500 0.500 0.500
0.000 0.000 0.000
0.000 0.500 0.629
0.500 0.000 0.371
```

Values from the calculation:
**Symmetry**: No. 115
**Formation enthalpy at 0 K**: -647 meV per atom

---

No. 3
Material: MgScAlPb2
Method: DFT, PBE-GGA
State: optimized geometry

The structure in POSCAR format:
```
MgScAlPb2
1.0
5.385 0.000 0.000
0.000 5.385 0.000
0.000 0.000 5.082
Mg Sc Al Pb
1 1 1 2
direct
0.000 0.000 0.000
0.500 0.500 0.500
0.000 0.000 0.500
0.000 0.500 0.000
0.500 0.000 0.000
```

Values from the calculation:
**Symmetry**: No. 123
**Formation enthalpy at 0 K**: 554 meV per atom

---

No. 4
Material: Ga2CuHgI8
Method: DFT, PBE-GGA
State: optimized geometry

The structure in POSCAR format:
```
Ga2CuHgI8
1.0
7.888 -3.857 0.000
7.888 3.857 0.000
-4.980 0.000 9.555
Ga Cu Hg I
2 1 1 8
direct
0.183 0.183 0.144
0.817 0.817 0.856
0.500 0.500 0.000
0.000 0.000 0.500
0.171 0.171 0.903
0.172 0.640 0.803
0.347 0.347 0.357
0.360 0.828 0.197
0.640 0.172 0.803
0.653 0.653 0.643
0.828 0.360 0.197
0.829 0.829 0.097
```

Values from the calculation:
**Energy relative to the elements, uncorrected**: -0.28 eV/atom
**Symmetry**: No. 12

---

| no. | calculated volume (Å³ per atom) | magnetic moment (μB/f.u.) |
| --- | --- | --- |
| 1 | 26.0 | 0.00 |
| 2 | 20.5 | 0.00 |
| 3 | 29.5 | 0.00 |
| 4 | 48.4 | 0.25 |